Entry P
A plane-wave DFT calculation with PBE-GGA was carried out for AgTe2PN after structural relaxation.

Lattice parameters (Å, degrees): 5.7126 5.7126 3.2203 90.00 90.00 90.00
Fractional coordinates of all 5 atoms:
Ag1 0.5000 0.5000 0.5000
Te1 0.0000 0.5000 0.0000
Te2 0.5000 0.0000 0.0000
P1 0.0000 0.0000 0.0000
N1 0.0000 0.0000 0.5000

Values from the calculation:
Magnetization (μB per formula unit): 0.00
Crystal system: tetragonal



Entry Q
A plane-wave DFT calculation with PBE-GGA was carried out for AgTe2PN after structural relaxation.

Lattice parameters (Å, degrees): 5.5155 5.5155 3.9260 90.00 90.00 90.00
Fractional coordinates of all 5 atoms:
Te1 0.0000 0.5000 0.0000
Te2 0.5000 0.0000 0.0000
P1 0.5000 0.5000 0.5000
N1 0.0000 0.0000 0.5000
Ag1 0.0000 0.0000 0.0000

Values from the calculation:
Magnetization (μB per formula unit): 1.73
Crystal system: tetragonal



entry P comes first in stability; the runner-up is 0.904 eV/atom higher.



Entry P
A plane-wave DFT calculation with PBE-GGA was carried out for Pa2AgN after structural relaxation.

Lattice parameters (Å, degrees): 3.0383 3.0383 7.7689 90.00 90.00 90.00
Fractional coordinates of all 4 atoms:
N1 0.5000 0.5000 0.0000
Pa1 0.0000 0.0000 0.8079
Pa2 0.0000 0.0000 0.1921
Ag1 0.5000 0.5000 0.5000

Values from the calculation:
Magnetization (μB per formula unit): 0.01
Crystal system: tetragonal



Entry Q
A plane-wave DFT calculation with PBE-GGA was carried out for Pa2AgN after structural relaxation.

Lattice parameters (Å, degrees): 3.2694 3.2694 8.6087 79.05 79.05 60.00
Fractional coordinates of all 4 atoms:
Pa1 0.7734 0.7734 0.6798
Pa2 0.2266 0.2266 0.3202
Ag1 0.0000 0.0000 0.0000
N1 0.5000 0.5000 0.5000

Values from the calculation:
Magnetization (μB per formula unit): 0.00
Crystal system: trigonal



entry Q comes first in stability; the runner-up is 0.375 eV/atom higher.



Entry P
A plane-wave DFT calculation with PBE-GGA was carried out for AgPb3N after structural relaxation.

Lattice parameters (Å, degrees): 5.4194 5.4194 5.4194 90.00 90.00 90.00
Fractional coordinates of all 5 atoms:
Ag1 0.0000 0.0000 0.0000
N1 0.5000 0.5000 0.5000
Pb1 0.0000 0.0000 0.5000
Pb2 0.5000 0.0000 0.0000
Pb3 0.0000 0.5000 0.0000

Values from the calculation:
Magnetization (μB per formula unit): 0.00
Crystal system: cubic



Entry Q
A plane-wave DFT calculation with PBE-GGA was carried out for AgPb3N after structural relaxation.

Lattice parameters (Å, degrees): 5.0230 5.0230 5.0230 90.00 90.00 90.00
Fractional coordinates of all 5 atoms:
Pb1 0.5000 0.0000 0.0000
Pb2 0.0000 0.5000 0.0000
Pb3 0.0000 0.0000 0.5000
N1 0.0000 0.0000 0.0000
Ag1 0.5000 0.5000 0.5000

Values from the calculation:
Magnetization (μB per formula unit): 0.00
Crystal system: cubic



entry Q comes first in stability; the runner-up is 0.880 eV/atom higher.